First-principles (GGA-PBE) data for LiIn2Ge2Rh5 after structural relaxation, as listed in Alexandria via LeMat-Bulk.

Values from the calculation:
Density ... 9.32 g/cm3
Calculated formation energy ... -0.260 eV per atom
Magnetic moment ... 0.0 μB/cell
Electronic total energy ... -0.4115 Ry/atom

a = 9.7133 Å, b = 9.7133 Å, c = 3.3855 Å
α = 90.00°, β = 90.00°, γ = 90.00°
Space group P4/mbm (No. 127)
Unique sites:
Li: 0.0000 0.0000 0.0000 [2 per cell]
In: 0.1711 0.3289 0.0000 [4 per cell]
Ge: 0.1316 0.6316 0.0000 [4 per cell]
Rh: 0.0000 0.5000 0.5000 [2 per cell]
Rh: 0.0779 0.8027 0.5000 [8 per cell]